First-principles (PBE-GGA) data for an optimized crystal structure of Dy2PuCd, as listed in Alexandria.

Computed properties:
energy relative to the lowest polymorph listed for this composition: 0 meV/atom
DOS at the Fermi energy: 9.84 states/eV/f.u.

Cell lengths 3.4810, 3.4810, 9.1491 Å; angles 90.00, 90.00, 90.00 degrees
Each line ends with the local moment (μB).
Atoms (fractional coordinates):
Cd (0.5000, 0.5000, 0.0000)  -0.01
Pu (0.5000, 0.5000, 0.5000)  5.49
Dy (0.0000, 0.0000, 0.7657)  0.15
Dy (0.0000, 0.0000, 0.2343)  0.15



First-principles (PBE-GGA) data for an optimized crystal structure of Y2Cd2I, as listed in Alexandria.

Computed properties:
energy relative to the lowest polymorph listed for this composition: 144 meV/atom
E_form (uncorrected): -22.5 kJ/mol of atoms
DOS at the Fermi energy: 2.23 states/eV/f.u.

Cell lengths 8.7149, 8.7149, 3.7956 Å; angles 90.00, 90.00, 90.00 degrees
Atoms (fractional coordinates):
Cd (0.1169, 0.3831, 0.0000)
Cd (0.3831, 0.8831, 0.0000)
Cd (0.6169, 0.1169, 0.0000)
Cd (0.8831, 0.6169, 0.0000)
I (0.5000, 0.5000, 0.0000)
I (0.0000, 0.0000, 0.0000)
Y (0.1783, 0.6783, 0.5000)
Y (0.8217, 0.3217, 0.5000)
Y (0.3217, 0.1783, 0.5000)
Y (0.6783, 0.8217, 0.5000)